Record 1
Entry from Alexandria via LeMat-Bulk: Sr2MgIn at its PBEsol-relaxed geometry (meta-GGA SCAN). Values from VASP.

The structure in Quantum ESPRESSO input format:
```
&SYSTEM
  ibrav = 0, nat = 4, ntyp = 3
/
ATOMIC_SPECIES
Sr 87.62 Sr.upf
In 114.82 In.upf
Mg 24.30 Mg.upf
CELL_PARAMETERS angstrom
5.716 0.000 0.000
2.858 4.950 0.000
2.858 1.650 4.667
ATOMIC_POSITIONS crystal
Sr 0.250 0.250 0.250
In 0.500 0.500 0.500
Sr 0.750 0.750 0.750
Mg 0.000 0.000 0.000
```

Properties
Raw total energy, eV/atom: -21.063
Calculated volume, Å³ per cell: 132
DOS(E_F), states/eV per cell: 2.66
Symmetry: No. 225

Record 2
Entry from Alexandria via LeMat-Bulk: SrMg2In2 at its PBEsol-relaxed geometry (meta-GGA SCAN). Values from VASP.

The structure in Quantum ESPRESSO input format:
```
&SYSTEM
  ibrav = 0, nat = 5, ntyp = 3
/
ATOMIC_SPECIES
Mg 24.30 Mg.upf
In 114.82 In.upf
Sr 87.62 Sr.upf
CELL_PARAMETERS angstrom
4.639 0.000 0.000
0.000 4.639 0.000
-2.319 -2.319 6.367
ATOMIC_POSITIONS crystal
Mg 0.750 0.250 0.500
Mg 0.250 0.750 0.500
In 0.390 0.390 0.779
Sr 0.000 0.000 0.000
In 0.610 0.610 0.221
```

Properties
Raw total energy, eV/atom: -20.215
Calculated volume, Å³ per cell: 137
DOS(E_F), states/eV per cell: 2.86
Symmetry: No. 139

Record 3
Entry from Alexandria via LeMat-Bulk: SrMgIn at its PBEsol-relaxed geometry (meta-GGA SCAN). Values from VASP.

The structure in Quantum ESPRESSO input format:
```
&SYSTEM
  ibrav = 0, nat = 3, ntyp = 3
/
ATOMIC_SPECIES
Sr 87.62 Sr.upf
Mg 24.30 Mg.upf
In 114.82 In.upf
CELL_PARAMETERS angstrom
3.852 0.000 0.000
0.000 5.146 0.000
0.000 -2.573 4.457
ATOMIC_POSITIONS crystal
Sr 0.500 0.667 0.333
Mg 0.000 0.333 0.667
In 0.000 0.000 0.000
```

Properties
Raw total energy, eV/atom: -20.600
Calculated volume, Å³ per cell: 88
DOS(E_F), states/eV per cell: 1.30
Symmetry: No. 187

Record 4
Entry from Alexandria via LeMat-Bulk: MgTaIn2 at its PBEsol-relaxed geometry (meta-GGA SCAN). Values from VASP.

The structure in Quantum ESPRESSO input format:
```
&SYSTEM
  ibrav = 0, nat = 4, ntyp = 3
/
ATOMIC_SPECIES
In 114.82 In.upf
Ta 180.95 Ta.upf
Mg 24.30 Mg.upf
CELL_PARAMETERS angstrom
2.955 0.000 0.000
0.000 5.133 0.000
0.000 0.000 5.266
ATOMIC_POSITIONS crystal
In 0.000 0.000 0.056
In 0.000 0.500 0.698
Ta 0.500 0.500 0.205
Mg 0.500 0.000 0.542
```

Properties
Raw total energy, eV/atom: -34.485
Calculated volume, Å³ per cell: 80
DOS(E_F), states/eV per cell: 1.89
Symmetry: No. 25

Record 5
Entry from Alexandria via LeMat-Bulk: MgTaIn2 at its PBEsol-relaxed geometry (meta-GGA SCAN). Values from VASP.

The structure in Quantum ESPRESSO input format:
```
&SYSTEM
  ibrav = 0, nat = 4, ntyp = 3
/
ATOMIC_SPECIES
Ta 180.95 Ta.upf
In 114.82 In.upf
Mg 24.30 Mg.upf
CELL_PARAMETERS angstrom
3.067 0.000 0.000
-1.534 4.966 0.009
0.000 -1.090 5.377
ATOMIC_POSITIONS crystal
Ta 0.500 0.000 0.000
In 0.247 0.495 0.237
In 0.753 0.505 0.763
Mg 0.000 0.000 0.500
```

Properties
Raw total energy, eV/atom: -34.374
Calculated volume, Å³ per cell: 82
DOS(E_F), states/eV per cell: 2.41
Symmetry: No. 12

Record 6
Entry from Alexandria via LeMat-Bulk: Mg2TaIn at its PBEsol-relaxed geometry (meta-GGA SCAN). Values from VASP.

The structure in Quantum ESPRESSO input format:
```
&SYSTEM
  ibrav = 0, nat = 4, ntyp = 3
/
ATOMIC_SPECIES
Mg 24.30 Mg.upf
Ta 180.95 Ta.upf
In 114.82 In.upf
CELL_PARAMETERS angstrom
-1.293 2.501 -0.780
-2.578 0.185 4.869
4.923 2.468 -0.245
ATOMIC_POSITIONS crystal
Mg 0.000 0.500 0.000
Ta 0.500 0.000 0.000
In 0.500 0.500 0.500
Mg 0.000 0.000 0.500
```

Properties
Raw total energy, eV/atom: -27.313
Calculated volume, Å³ per cell: 80
DOS(E_F), states/eV per cell: 2.21
Symmetry: No. 65

Record 7
Entry from Alexandria via LeMat-Bulk: MgTaIn2 at its PBEsol-relaxed geometry (meta-GGA SCAN). Values from VASP.

The structure in Quantum ESPRESSO input format:
```
&SYSTEM
  ibrav = 0, nat = 4, ntyp = 3
/
ATOMIC_SPECIES
Mg 24.30 Mg.upf
In 114.82 In.upf
Ta 180.95 Ta.upf
CELL_PARAMETERS angstrom
4.174 0.000 0.000
0.000 4.174 0.000
-2.087 -2.087 4.486
ATOMIC_POSITIONS crystal
Mg 0.500 0.500 0.000
In 0.250 0.750 0.500
Ta 0.000 0.000 0.000
In 0.750 0.250 0.500
```

Properties
Raw total energy, eV/atom: -34.450
Calculated volume, Å³ per cell: 78
DOS(E_F), states/eV per cell: 2.16
Symmetry: No. 139

Record 8
Entry from Alexandria via LeMat-Bulk: MgTa2In at its PBEsol-relaxed geometry (meta-GGA SCAN). Values from VASP.

The structure in Quantum ESPRESSO input format:
```
&SYSTEM
  ibrav = 0, nat = 4, ntyp = 3
/
ATOMIC_SPECIES
Mg 24.30 Mg.upf
Ta 180.95 Ta.upf
In 114.82 In.upf
CELL_PARAMETERS angstrom
-0.122 3.153 1.482
-2.049 1.134 -2.582
-5.169 -1.765 3.327
ATOMIC_POSITIONS crystal
Mg 0.500 0.500 0.756
Ta 0.000 0.000 0.031
Ta 0.500 0.500 0.214
In 0.000 0.000 0.499
```

Properties
Raw total energy, eV/atom: -42.785
Calculated volume, Å³ per cell: 78
DOS(E_F), states/eV per cell: 2.38
Symmetry: No. 99

Record 9
Entry from Alexandria via LeMat-Bulk: TbMgIn at its PBEsol-relaxed geometry (meta-GGA SCAN). Values from VASP.

The structure in Quantum ESPRESSO input format:
```
&SYSTEM
  ibrav = 0, nat = 9, ntyp = 3
/
ATOMIC_SPECIES
Mg 24.30 Mg.upf
Tb 158.93 Tb.upf
In 114.82 In.upf
CELL_PARAMETERS angstrom
-1.734 -4.025 -1.485
6.611 -1.759 -2.952
-1.570 -1.915 7.027
ATOMIC_POSITIONS crystal
Mg 0.500 0.000 0.242
Tb 0.000 0.434 0.434
In 0.500 0.667 0.333
Tb 0.000 0.000 0.566
Mg 0.500 0.758 0.758
In 0.500 0.333 0.667
Mg 0.500 0.242 0.000
Tb 0.000 0.566 0.000
In 0.000 0.000 0.000
```

Properties
Raw total energy, eV/atom: -28.910
Calculated volume, Å³ per cell: 222
DOS(E_F), states/eV per cell: 0.97
Symmetry: No. 189

Record 10
Entry from Alexandria via LeMat-Bulk: MgInTc2 at its PBEsol-relaxed geometry (meta-GGA SCAN). Values from VASP.

The structure in Quantum ESPRESSO input format:
```
&SYSTEM
  ibrav = 0, nat = 4, ntyp = 3
/
ATOMIC_SPECIES
Tc 98.00 Tc.upf
In 114.82 In.upf
Mg 24.30 Mg.upf
CELL_PARAMETERS angstrom
-2.239 1.605 -0.198
-0.870 -0.673 4.370
3.677 3.595 1.285
ATOMIC_POSITIONS crystal
Tc 0.278 0.000 0.270
In 0.500 0.500 0.000
Tc 0.722 0.000 0.730
Mg 0.000 0.500 0.500
```

Properties
Calculated volume, Å³ per cell: 65
DOS(E_F), states/eV per cell: 2.57
Symmetry: No. 10
Distance to the lowest polymorph of the same formula, eV per atom: 0.303

Record 11
Entry from Alexandria via LeMat-Bulk: MgInTc2 at its PBEsol-relaxed geometry (meta-GGA SCAN). Values from VASP.

The structure in Quantum ESPRESSO input format:
```
&SYSTEM
  ibrav = 0, nat = 4, ntyp = 3
/
ATOMIC_SPECIES
Mg 24.30 Mg.upf
In 114.82 In.upf
Tc 98.00 Tc.upf
CELL_PARAMETERS angstrom
2.740 0.000 0.000
0.000 2.740 0.000
0.000 0.000 8.727
ATOMIC_POSITIONS crystal
Mg 0.500 0.500 0.500
In 0.500 0.500 0.000
Tc 0.000 0.000 0.251
Tc 0.000 0.000 0.749
```

Properties
Calculated volume, Å³ per cell: 66
DOS(E_F), states/eV per cell: 3.66
Symmetry: No. 123
Distance to the lowest polymorph of the same formula, eV per atom: 0.481

Record 12
Entry from Alexandria via LeMat-Bulk: MgInTc2 at its PBEsol-relaxed geometry (meta-GGA SCAN). Values from VASP.

The structure in Quantum ESPRESSO input format:
```
&SYSTEM
  ibrav = 0, nat = 4, ntyp = 3
/
ATOMIC_SPECIES
Tc 98.00 Tc.upf
Mg 24.30 Mg.upf
In 114.82 In.upf
CELL_PARAMETERS angstrom
2.973 0.000 0.000
0.000 2.973 0.000
0.000 0.000 7.794
ATOMIC_POSITIONS crystal
Tc 0.000 0.000 0.031
Mg 0.500 0.500 0.786
Tc 0.500 0.500 0.210
In 0.000 0.000 0.472
```

Properties
Calculated volume, Å³ per cell: 69
DOS(E_F), states/eV per cell: 2.14
Symmetry: No. 99
Distance to the lowest polymorph of the same formula, eV per atom: 0.000

Record 13
Entry from Alexandria via LeMat-Bulk: MgIn2Te at its PBEsol-relaxed geometry (meta-GGA SCAN). Values from VASP.

The structure in Quantum ESPRESSO input format:
```
&SYSTEM
  ibrav = 0, nat = 4, ntyp = 3
/
ATOMIC_SPECIES
In 114.82 In.upf
Mg 24.30 Mg.upf
Te 127.60 Te.upf
CELL_PARAMETERS angstrom
-3.821 0.327 -0.753
0.696 -0.603 -3.798
-0.744 -6.607 0.912
ATOMIC_POSITIONS crystal
In 0.000 0.000 0.757
Mg 0.500 0.500 0.000
In 0.000 0.000 0.243
Te 0.500 0.500 0.500
```

Properties
Calculated volume, Å³ per cell: 103
DOS(E_F), states/eV per cell: 1.42
ΔE_f (raw), eV per formula unit: -0.29
Symmetry: No. 123
Distance to the lowest polymorph of the same formula, eV per atom: 0.106

Record 14
Entry from Alexandria via LeMat-Bulk: MgInTe2 at its PBEsol-relaxed geometry (meta-GGA SCAN). Values from VASP.

The structure in Quantum ESPRESSO input format:
```
&SYSTEM
  ibrav = 0, nat = 4, ntyp = 3
/
ATOMIC_SPECIES
In 114.82 In.upf
Te 127.60 Te.upf
Mg 24.30 Mg.upf
CELL_PARAMETERS angstrom
4.279 -0.007 0.000
0.008 4.279 0.000
0.000 0.000 6.050
ATOMIC_POSITIONS crystal
In 0.625 0.625 0.000
Te 0.625 0.625 0.500
Te 0.125 0.125 0.000
Mg 0.125 0.125 0.500
```

Properties
Calculated volume, Å³ per cell: 111
DOS(E_F), states/eV per cell: 1.25
ΔE_f (raw), eV per formula unit: -2.33
Symmetry: No. 123